No. 1
A plane-wave DFT calculation with PBE was carried out for crystalline Th2Co4TcP3 at its relaxed geometry.

Results
final energy = -7.81 eV/atom
D(E_F) = 3.43 states/eV/cell
calculated formation energy = -797 kJ/mol of formula units
crystal system = tetragonal

Lattice parameters (Å, degrees): 4.001 4.001 9.535 90.00 90.00 90.00
Last column: magnetic moment on the atom in μB.
Sites, in units of the cell vectors:
Th  0.500  0.000  0.238  -0.05
Th  0.000  0.500  0.762  -0.05
Co  0.500  0.500  0.000  0.80
Co  0.000  0.000  0.000  0.82
Co  0.500  0.000  0.626  0.06
Co  0.000  0.500  0.374  0.06
Tc  0.500  0.500  0.500  0.36
P  0.000  0.000  0.500  0.01
P  0.500  0.000  0.874  0.03
P  0.000  0.500  0.126  0.03

***

No. 2
A plane-wave DFT calculation with PBE was carried out for crystalline ThCoTcP2 at its relaxed geometry.

Results
final energy = -8.08 eV/atom
D(E_F) = 2.92 states/eV/cell
calculated formation energy = -451 kJ/mol of formula units
crystal system = tetragonal

Lattice parameters (Å, degrees): 3.925 3.925 6.034 108.98 108.98 90.00
Sites, in units of the cell vectors:
Th  0.000  0.000  0.000
Co  0.250  0.750  0.500
Tc  0.750  0.250  0.500
P  0.638  0.638  0.277
P  0.362  0.362  0.723

***

No. 3
A plane-wave DFT calculation with PBE was carried out for crystalline TmCoTcP2 at its relaxed geometry.

Results
final energy = -7.50 eV/atom
D(E_F) = 2.08 states/eV/cell
calculated formation energy = -455 kJ/mol of formula units
crystal system = tetragonal

Lattice parameters (Å, degrees): 3.937 3.937 5.537 110.83 110.83 90.00
Sites, in units of the cell vectors:
Tm  0.000  0.000  0.000
Co  0.250  0.750  0.500
Tc  0.750  0.250  0.500
P  0.625  0.625  0.250
P  0.375  0.375  0.750

***

No. 4
A plane-wave DFT calculation with PBE was carried out for crystalline U2Co3TcP4 at its relaxed geometry.

Results
final energy = -8.39 eV/atom
D(E_F) = 14.07 states/eV/cell
calculated formation energy = -776 kJ/mol of formula units
crystal system = tetragonal

Lattice parameters (Å, degrees): 3.989 3.989 8.993 90.00 90.00 90.00
Last column: magnetic moment on the atom in μB.
Sites, in units of the cell vectors:
U  0.500  0.000  0.241  1.38
U  0.000  0.500  0.759  1.38
Co  0.000  0.000  0.500  -0.17
Co  0.500  0.000  0.890  0.07
Co  0.000  0.500  0.110  0.07
Tc  0.500  0.500  0.500  -0.16
P  0.500  0.500  0.000  -0.02
P  0.000  0.000  0.000  -0.02
P  0.500  0.000  0.642  -0.01
P  0.000  0.500  0.358  -0.01

***

No. 5
A plane-wave DFT calculation with PBE was carried out for crystalline ZnCoTc2P at its relaxed geometry.

Results
final energy = -6.51 eV/atom
D(E_F) = 6.68 states/eV/cell
calculated formation energy = 188 kJ/mol of formula units
crystal system = tetragonal

Lattice parameters (Å, degrees): 4.392 4.064 4.392 90.00 90.00 90.00
Last column: magnetic moment on the atom in μB.
Sites, in units of the cell vectors:
P  0.000  0.000  0.000  -0.03
Zn  0.500  0.500  0.500  -0.01
Co  0.000  0.500  0.000  0.72
Tc  0.000  0.000  0.500  0.75
Tc  0.500  0.000  0.000  0.71

***

No. 6
A plane-wave DFT calculation with PBE was carried out for crystalline ZrCo2TcP at its relaxed geometry.

Results
final energy = -6.60 eV/atom
D(E_F) = 5.85 states/eV/cell
calculated formation energy = 533 kJ/mol of formula units
crystal system = tetragonal

Lattice parameters (Å, degrees): 4.313 5.111 4.313 90.00 90.00 90.00
Sites, in units of the cell vectors:
P  0.500  0.500  0.500
Co  0.000  0.000  0.500
Co  0.500  0.000  0.000
Tc  0.000  0.000  0.000
Zr  0.000  0.500  0.000

***

No. 7
A plane-wave DFT calculation with PBE was carried out for crystalline CoTeP at its relaxed geometry.

Results
final energy = -4.38 eV/atom
D(E_F) = 1.89 states/eV/cell
relative energy among the computed polymorphs = 1.142 eV per atom
crystal system = cubic
raw formation energy = 0.84 eV/atom

Lattice parameters (Å, degrees): 4.357 4.357 4.357 60.00 60.00 60.00
Sites, in units of the cell vectors:
Co  0.000  0.000  0.000
P  0.500  0.500  0.500
Te  0.250  0.250  0.250

***

No. 8
A plane-wave DFT calculation with PBE was carried out for crystalline Co2TeP at its relaxed geometry.

Results
final energy = -5.28 eV/atom
D(E_F) = 3.40 states/eV/cell
crystal system = tetragonal
raw formation energy = 0.41 eV/atom

Lattice parameters (Å, degrees): 5.025 5.025 5.025 137.73 137.73 61.32
Sites, in units of the cell vectors:
Co  0.000  0.000  0.000
Co  0.250  0.750  0.500
P  0.500  0.500  0.000
Te  0.750  0.250  0.500

***

No. 9
A plane-wave DFT calculation with PBE was carried out for crystalline CoTe3P at its relaxed geometry.

Results
final energy = -3.71 eV/atom
D(E_F) = 7.38 states/eV/cell
relative energy among the computed polymorphs = 0.000 eV per atom
crystal system = cubic
raw formation energy = 0.68 eV/atom

Lattice parameters (Å, degrees): 4.954 4.954 4.954 90.00 90.00 90.00
Sites, in units of the cell vectors:
P  0.500  0.500  0.500
Te  0.000  0.500  0.000
Te  0.000  0.000  0.500
Te  0.500  0.000  0.000
Co  0.000  0.000  0.000

***

No. 10
A plane-wave DFT calculation with PBE was carried out for crystalline CoTeP at its relaxed geometry.

Results
final energy = -5.52 eV/atom
D(E_F) = 0.79 states/eV/cell
relative energy among the computed polymorphs = 0.000 eV per atom
crystal system = monoclinic
raw formation energy = -0.30 eV/atom

Lattice parameters (Å, degrees): 5.843 6.037 6.088 105.56 90.00 90.00
Sites, in units of the cell vectors:
Co  0.024  0.259  0.278
Co  0.476  0.759  0.278
Co  0.976  0.741  0.722
Co  0.524  0.241  0.722
Te  0.627  0.346  0.155
Te  0.373  0.654  0.845
Te  0.873  0.846  0.155
Te  0.127  0.154  0.845
P  0.635  0.869  0.627
P  0.365  0.131  0.373
P  0.135  0.631  0.373
P  0.865  0.369  0.627

***

No. 11
A plane-wave DFT calculation with PBE was carried out for crystalline Co2TeP at its relaxed geometry.

Results
final energy = -5.75 eV/atom
D(E_F) = 2.48 states/eV/cell
crystal system = orthorhombic
raw formation energy = -0.06 eV/atom

Lattice parameters (Å, degrees): 6.526 6.526 6.526 151.14 153.16 39.82
Sites, in units of the cell vectors:
Co  0.995  0.995  0.000
Co  0.669  0.169  0.500
P  0.545  0.545  0.000
Te  0.291  0.791  0.500

***

No. 12
A plane-wave DFT calculation with PBE was carried out for crystalline CoTeP at its relaxed geometry.

Results
final energy = -5.05 eV/atom
D(E_F) = 2.07 states/eV/cell
relative energy among the computed polymorphs = 0.478 eV per atom
crystal system = orthorhombic
raw formation energy = 0.17 eV/atom

Lattice parameters (Å, degrees): 6.313 6.315 2.979 76.32 76.39 27.29
Sites, in units of the cell vectors:
Co  0.026  0.026  0.974
P  0.615  0.615  0.385
Te  0.359  0.359  0.641

***

No. 13
A plane-wave DFT calculation with PBE was carried out for crystalline Co2TeP at its relaxed geometry.

Results
final energy = -5.83 eV/atom
D(E_F) = 2.41 states/eV/cell
crystal system = monoclinic
raw formation energy = -0.14 eV/atom

Lattice parameters (Å, degrees): 3.982 3.982 5.310 83.61 83.61 48.03
Sites, in units of the cell vectors:
Co  0.001  0.001  0.956
Co  0.765  0.765  0.628
P  0.465  0.465  0.691
Te  0.269  0.269  0.226

***

No. 14
A plane-wave DFT calculation with PBE was carried out for crystalline Co2TeP at its relaxed geometry.

Results
final energy = -5.71 eV/atom
D(E_F) = 3.52 states/eV/cell
crystal system = tetragonal
raw formation energy = -0.02 eV/atom

Lattice parameters (Å, degrees): 3.286 3.286 5.499 90.00 90.00 90.00
Sites, in units of the cell vectors:
Co  0.000  0.000  0.999
Co  0.500  0.500  0.302
P  0.000  0.000  0.385
Te  0.500  0.500  0.813

***

No. 15
A plane-wave DFT calculation with PBE was carried out for crystalline CoTe3P at its relaxed geometry.

Results
final energy = -3.41 eV/atom
D(E_F) = 10.14 states/eV/cell
relative energy among the computed polymorphs = 0.305 eV per atom
crystal system = cubic
raw formation energy = 0.98 eV/atom

Lattice parameters (Å, degrees): 5.187 5.187 5.187 90.00 90.00 90.00
Last column: magnetic moment on the atom in μB.
Sites, in units of the cell vectors:
P  0.000  0.000  0.000  -0.01
Te  0.000  0.500  0.000  0.10
Te  0.000  0.000  0.500  0.08
Te  0.500  0.000  0.000  0.06
Co  0.500  0.500  0.500  2.25

***

No. 16
A plane-wave DFT calculation with PBE was carried out for crystalline Co2TeP at its relaxed geometry.

Results
final energy = -5.34 eV/atom
D(E_F) = 4.46 states/eV/cell
crystal system = tetragonal
raw formation energy = 0.35 eV/atom

Lattice parameters (Å, degrees): 4.183 4.183 3.274 90.05 90.05 89.99
Last column: magnetic moment on the atom in μB.
Sites, in units of the cell vectors:
Co  0.000  0.000  0.000  0.76
Co  0.500  0.500  0.000  0.76
P  0.500  0.000  0.500  0.01
Te  0.000  0.500  0.500  0.00

***

No. 17
A plane-wave DFT calculation with PBE was carried out for crystalline Co2TeP at its relaxed geometry.

Results
final energy = -5.62 eV/atom
D(E_F) = 3.19 states/eV/cell
crystal system = orthorhombic
raw formation energy = 0.08 eV/atom

Lattice parameters (Å, degrees): 3.398 3.654 5.193 89.96 90.00 90.00
Sites, in units of the cell vectors:
Co  0.000  0.250  0.001
Co  0.000  0.250  0.499
P  0.500  0.250  0.250
Te  0.500  0.750  0.750

***

No. 18
A plane-wave DFT calculation with PBE was carried out for crystalline CoTe2P2 at its relaxed geometry.

Results
final energy = -4.51 eV/atom
D(E_F) = 2.45 states/eV/cell
relative energy among the computed polymorphs = 0.000 eV per atom
crystal system = tetragonal
raw formation energy = 0.34 eV/atom

Lattice parameters (Å, degrees): 3.282 3.282 9.807 80.37 80.37 90.00
Sites, in units of the cell vectors:
P  0.750  0.250  0.500
P  0.250  0.750  0.500
Te  0.421  0.421  0.159
Te  0.579  0.579  0.841
Co  0.000  0.000  0.000

***

No. 19
A plane-wave DFT calculation with PBE was carried out for crystalline Co2TeP at its relaxed geometry.

Results
final energy = -5.53 eV/atom
D(E_F) = 3.78 states/eV/cell
crystal system = tetragonal
raw formation energy = 0.16 eV/atom

Lattice parameters (Å, degrees): 2.909 2.906 6.717 90.00 90.00 90.00
Sites, in units of the cell vectors:
Co  0.000  0.000  0.067
Co  0.000  0.000  0.433
P  0.500  0.500  0.250
Te  0.500  0.500  0.750

***

No. 20
A plane-wave DFT calculation with PBE was carried out for crystalline CoTe4P at its relaxed geometry.

Results
final energy = -2.97 eV/atom
D(E_F) = 7.70 states/eV/cell
crystal system = cubic
raw formation energy = 1.21 eV/atom

Lattice parameters (Å, degrees): 6.188 6.188 6.188 60.00 60.00 60.00
Last column: magnetic moment on the atom in μB.
Sites, in units of the cell vectors:
Co  0.750  0.750  0.750  2.14
Te  0.876  0.375  0.375  0.01
Te  0.375  0.375  0.876  0.01
Te  0.375  0.876  0.375  0.01
Te  0.375  0.375  0.375  0.01
P  0.000  0.000  0.000  0.03

***

No. 21
A plane-wave DFT calculation with PBE was carried out for crystalline CoTeP at its relaxed geometry.

Results
final energy = -5.14 eV/atom
D(E_F) = 1.36 states/eV/cell
relative energy among the computed polymorphs = 0.382 eV per atom
crystal system = cubic
raw formation energy = 0.08 eV/atom

Lattice parameters (Å, degrees): 4.217 4.217 4.217 60.00 60.00 60.00
Sites, in units of the cell vectors:
Co  0.250  0.250  0.250
P  0.000  0.000  0.000
Te  0.500  0.500  0.500

***

No. 22
A plane-wave DFT calculation with PBE was carried out for crystalline Co2TeP at its relaxed geometry.

Results
final energy = -5.52 eV/atom
D(E_F) = 3.26 states/eV/cell
crystal system = orthorhombic
raw formation energy = 0.17 eV/atom

Lattice parameters (Å, degrees): 4.623 4.623 4.623 135.35 110.93 86.07
Sites, in units of the cell vectors:
Co  0.935  0.935  0.000
Co  0.565  0.565  0.000
P  0.750  0.250  0.500
Te  0.250  0.750  0.500

***

No. 23
A plane-wave DFT calculation with PBE was carried out for crystalline Co2TeP at its relaxed geometry.

Results
final energy = -5.81 eV/atom
D(E_F) = 3.05 states/eV/cell
crystal system = monoclinic
raw formation energy = -0.11 eV/atom

Lattice parameters (Å, degrees): 3.499 3.946 5.098 98.28 90.00 90.00
Sites, in units of the cell vectors:
Co  0.000  0.923  0.082
Co  0.500  0.285  0.429
P  0.000  0.456  0.245
Te  0.500  0.836  0.744

***

No. 24
A plane-wave DFT calculation with PBE was carried out for crystalline Co2TeP at its relaxed geometry.

Results
final energy = -5.66 eV/atom
D(E_F) = 3.70 states/eV/cell
crystal system = trigonal
raw formation energy = 0.03 eV/atom

Lattice parameters (Å, degrees): 6.289 6.289 6.289 34.31 34.31 34.31
Sites, in units of the cell vectors:
Co  0.972  0.972  0.972
Co  0.249  0.249  0.249
P  0.559  0.559  0.559
Te  0.720  0.720  0.720

***

No. 25
A plane-wave DFT calculation with PBE was carried out for crystalline CoTe2P2 at its relaxed geometry.

Results
final energy = -4.16 eV/atom
D(E_F) = 10.49 states/eV/cell
relative energy among the computed polymorphs = 0.350 eV per atom
crystal system = tetragonal
raw formation energy = 0.69 eV/atom

Lattice parameters (Å, degrees): 7.152 7.152 4.456 90.00 90.00 90.00
Last column: magnetic moment on the atom in μB.
Sites, in units of the cell vectors:
P  0.105  0.605  0.500  -0.03
P  0.605  0.895  0.500  -0.02
P  0.895  0.395  0.500  -0.03
P  0.395  0.105  0.500  -0.02
Te  0.283  0.783  0.000  0.02
Te  0.783  0.717  0.000  0.01
Te  0.717  0.217  0.000  0.02
Te  0.217  0.283  0.000  0.01
Co  0.000  0.000  0.000  1.16
Co  0.500  0.500  0.000  1.16

***

No. 26
A plane-wave DFT calculation with PBE was carried out for crystalline Co2TeP at its relaxed geometry.

Results
final energy = -5.91 eV/atom
D(E_F) = 1.66 states/eV/cell
crystal system = monoclinic
raw formation energy = -0.22 eV/atom

Lattice parameters (Å, degrees): 3.533 3.533 5.899 72.74 72.74 59.90
Sites, in units of the cell vectors:
Co  0.967  0.967  0.097
Co  0.533  0.533  0.403
P  0.250  0.250  0.250
Te  0.750  0.750  0.750

***

No. 27
A plane-wave DFT calculation with PBE was carried out for crystalline Co2TeP2 at its relaxed geometry.

Results
final energy = -5.68 eV/atom
D(E_F) = 5.03 states/eV/cell
crystal system = tetragonal
raw formation energy = -0.05 eV/atom

Lattice parameters (Å, degrees): 3.634 3.634 6.195 72.94 72.94 90.00
Sites, in units of the cell vectors:
P  0.750  0.250  0.500
P  0.250  0.750  0.500
Te  0.000  0.000  0.000
Co  0.367  0.367  0.265
Co  0.633  0.633  0.735

***

No. 28
A plane-wave DFT calculation with PBE was carried out for crystalline Co2TeP at its relaxed geometry.

Results
final energy = -5.36 eV/atom
D(E_F) = 4.22 states/eV/cell
crystal system = cubic
raw formation energy = 0.33 eV/atom

Lattice parameters (Å, degrees): 4.316 4.316 4.316 60.00 60.00 60.00
Last column: magnetic moment on the atom in μB.
Sites, in units of the cell vectors:
P  0.000  0.000  0.000  0.01
Te  0.500  0.500  0.500  0.00
Co  0.250  0.250  0.250  0.57
Co  0.750  0.750  0.750  0.57

***

No. 29
A plane-wave DFT calculation with PBE was carried out for crystalline CoTeP at its relaxed geometry.

Results
final energy = -5.33 eV/atom
D(E_F) = 1.41 states/eV/cell
relative energy among the computed polymorphs = 0.196 eV per atom
crystal system = trigonal
raw formation energy = -0.11 eV/atom

Lattice parameters (Å, degrees): 3.653 3.653 5.115 90.00 90.00 120.00
Sites, in units of the cell vectors:
Co  0.000  0.000  0.055
P  0.667  0.333  0.183
Te  0.333  0.667  0.762